The following is a DFT calculation (GGA-PBE) of a relaxed structure of HfMnCo2C.

Calculated values
Energy of formation from the pure elements = -0.262 eV/atom

```
HfMnCo2C
1.0
3.822 0.000 0.000
0.000 3.822 0.000
0.000 0.000 3.880
Hf C Co Mn
1 1 2 1
Cartesian
1.911 1.911 1.940
0.000 0.000 0.000
0.000 1.911 0.000
1.911 0.000 0.000
0.000 0.000 1.940
```